[1]
The following is a GGA-PBE calculation of a relaxed structure of FeCoCuW, from Alexandria.

E_form = 0.52 eV per formula unit

Lattice parameters (Å, degrees): 4.093 4.093 4.093 60.00 60.00 60.00
Element x y z (fractional)
Co  0.500  0.500  0.500
Cu  0.250  0.250  0.250
W  0.750  0.750  0.750
Fe  0.000  0.000  0.000


[2]
The following is a GGA-PBE calculation of a relaxed structure of Tl2CrCo, from Alexandria.

relative energy among the computed polymorphs = 324.3 meV per atom
E_form = 3.35 eV per formula unit

Lattice parameters (Å, degrees): 7.484 7.484 6.069 51.93 51.93 90.00
Each line ends with the local moment (μB).
Element x y z (fractional)
Cr  0.500  0.500  0.000  3.65
Cr  0.250  0.750  0.500  3.65
Tl  0.653  0.125  0.250  -0.04
Tl  0.097  0.625  0.250  -0.05
Tl  0.375  0.347  0.750  -0.04
Tl  0.875  0.903  0.750  -0.04
Co  0.000  0.000  0.000  1.14
Co  0.750  0.250  0.500  1.15


[3]
The following is a GGA-PBE calculation of a relaxed structure of Ca2BeNi, from Alexandria.

E_form = 1.56 eV per formula unit

Lattice parameters (Å, degrees): 4.764 4.764 4.764 60.00 60.00 60.00
Element x y z (fractional)
Ni  0.750  0.750  0.750
Ca  0.000  0.000  0.000
Ca  0.250  0.250  0.250
Be  0.500  0.500  0.500


[4]
The following is a GGA-PBE calculation of a relaxed structure of Pr3TmCu4, from Alexandria.

E_form = -1.28 eV per formula unit

Lattice parameters (Å, degrees): 3.552 3.552 14.384 90.00 90.00 90.00
Element x y z (fractional)
Pr  0.500  0.500  0.243
Pr  0.500  0.500  0.500
Pr  0.500  0.500  0.757
Tm  0.500  0.500  0.000
Cu  0.000  0.000  0.893
Cu  0.000  0.000  0.107
Cu  0.000  0.000  0.373
Cu  0.000  0.000  0.627


[5]
The following is a GGA-PBE calculation of a relaxed structure of KNaPa2Se5, from Alexandria.

E_form (uncorrected) = -1.335 eV per atom

Lattice parameters (Å, degrees): 7.949 7.949 9.775 113.99 113.99 90.00
Each line ends with the local moment (μB).
Element x y z (fractional)
K  0.250  0.250  0.500  0.00
K  0.750  0.750  0.500  0.00
Na  0.250  0.750  0.500  0.00
Na  0.750  0.250  0.500  0.00
Pa  0.157  0.343  0.000  0.97
Pa  0.657  0.157  0.000  0.97
Pa  0.343  0.843  0.000  0.97
Pa  0.843  0.657  0.000  0.97
Se  0.965  0.465  0.229  -0.03
Se  0.736  0.236  0.771  -0.03
Se  0.035  0.535  0.771  -0.03
Se  0.236  0.035  0.771  -0.03
Se  0.535  0.736  0.771  -0.03
Se  0.764  0.965  0.229  -0.03
Se  0.465  0.264  0.229  -0.03
Se  0.264  0.764  0.229  -0.03
Se  0.500  0.500  0.000  -0.04
Se  0.000  0.000  0.000  -0.04


[6]
The following is a GGA-PBE calculation of a relaxed structure of Cs4Rb2Au5, from Alexandria.

E_form = -2.87 eV per formula unit

Lattice parameters (Å, degrees): 8.030 10.696 13.453 113.43 107.36 90.00
Element x y z (fractional)
Cs  0.947  0.220  0.894
Cs  0.053  0.780  0.106
Cs  0.553  0.327  0.106
Cs  0.447  0.673  0.894
Cs  0.637  0.030  0.274
Cs  0.363  0.970  0.726
Cs  0.863  0.756  0.726
Cs  0.137  0.244  0.274
Rb  0.950  0.700  0.400
Rb  0.550  0.300  0.600
Rb  0.050  0.300  0.600
Rb  0.450  0.700  0.400
Au  0.250  0.000  0.000
Au  0.750  0.000  0.000
Au  0.586  0.681  0.173
Au  0.414  0.319  0.827
Au  0.914  0.508  0.827
Au  0.086  0.492  0.173
Au  0.789  0.998  0.579
Au  0.211  0.002  0.421
Au  0.289  0.580  0.579
Au  0.711  0.420  0.421


[7]
The following is a GGA-PBE calculation of a relaxed structure of La2Nb2Si, from Alexandria.

relative energy among the computed polymorphs = 942.3 meV per atom
E_form (uncorrected) = 0.952 eV per atom

Lattice parameters (Å, degrees): 3.990 3.990 8.138 75.81 75.81 90.00
Element x y z (fractional)
Nb  0.425  0.425  0.149
Nb  0.575  0.575  0.851
Si  0.000  0.000  0.000
La  0.750  0.250  0.500
La  0.250  0.750  0.500


[8]
The following is a GGA-PBE calculation of a relaxed structure of K2AgMo, from Alexandria.

relative energy among the computed polymorphs = 136.2 meV per atom
E_form = 4.13 eV per formula unit

Lattice parameters (Å, degrees): 2.914 2.914 11.692 90.00 90.00 77.97
Each line ends with the local moment (μB).
Element x y z (fractional)
Ag  0.500  0.500  0.750  0.00
K  0.000  0.000  0.999  0.00
K  0.000  0.000  0.501  0.00
Mo  0.500  0.500  0.250  0.16


[9]
The following is a GGA-PBE calculation of a relaxed structure of V3PdCl, from Alexandria.

relative energy among the computed polymorphs = 0.0 meV per atom
E_form (uncorrected) = 0.456 eV per atom

Lattice parameters (Å, degrees): 4.271 4.271 4.271 90.00 90.00 90.00
Each line ends with the local moment (μB).
Element x y z (fractional)
V  0.000  0.500  0.000  1.24
V  0.000  0.000  0.500  1.24
V  0.500  0.000  0.000  1.24
Pd  0.500  0.500  0.500  0.21
Cl  0.000  0.000  0.000  -0.04


[10]
The following is a GGA-PBE calculation of a relaxed structure of Dy4ErZn, from Alexandria.

relative energy among the computed polymorphs = 103.6 meV per atom
E_form = 0.02 eV per formula unit

Lattice parameters (Å, degrees): 6.200 8.963 8.039 114.27 100.01 112.33
Element x y z (fractional)
Dy  0.040  0.164  0.773
Dy  0.762  0.714  0.634
Dy  0.233  0.609  0.773
Dy  0.372  0.920  0.634
Dy  0.628  0.080  0.366
Dy  0.767  0.391  0.227
Dy  0.238  0.286  0.366
Dy  0.960  0.836  0.227
Er  0.345  0.595  0.189
Er  0.655  0.405  0.811
Zn  0.250  0.000  0.000
Zn  0.750  0.000  0.000


[11]
The following is a GGA-PBE calculation of a relaxed structure of PmBe3H9, from Alexandria.

total energy = -0.2733 Ry/atom

Lattice parameters (Å, degrees): 6.313 6.313 6.729 90.00 90.00 105.07
Element x y z (fractional)
Pm  0.642  0.642  0.000
Pm  0.358  0.358  0.500
Be  0.178  0.848  0.058
Be  0.822  0.152  0.558
Be  0.848  0.178  0.942
Be  0.152  0.822  0.442
Be  0.248  0.248  0.000
Be  0.752  0.752  0.500
H  0.279  0.043  0.947
H  0.721  0.957  0.447
H  0.043  0.279  0.053
H  0.957  0.721  0.553
H  0.353  0.399  0.842
H  0.647  0.601  0.342
H  0.399  0.353  0.158
H  0.601  0.647  0.658
H  0.271  0.662  0.441
H  0.729  0.338  0.941
H  0.662  0.271  0.559
H  0.338  0.729  0.059
H  0.271  0.004  0.552
H  0.729  0.996  0.052
H  0.004  0.271  0.448
H  0.996  0.729  0.948
H  0.099  0.901  0.250
H  0.901  0.099  0.750


[12]
The following is a GGA-PBE calculation of a relaxed structure of CuHg2W, from Alexandria.

relative energy among the computed polymorphs = 251.5 meV per atom
E_form = 3.04 eV per formula unit

Lattice parameters (Å, degrees): 5.142 5.142 5.285 74.63 74.63 32.31
Each line ends with the local moment (μB).
Element x y z (fractional)
Cu  0.250  0.250  0.250  0.02
Hg  0.987  0.987  0.007  0.01
Hg  0.513  0.513  0.493  0.01
W  0.750  0.750  0.750  0.47


[13]
The following is a GGA-PBE calculation of a relaxed structure of K2SiTc, from Alexandria.

E_form (uncorrected) = 0.770 eV per atom

Lattice parameters (Å, degrees): 12.806 12.806 9.346 46.76 46.76 90.00
Each line ends with the local moment (μB).
Element x y z (fractional)
K  0.428  0.125  0.250  0.00
K  0.322  0.625  0.250  0.00
K  0.375  0.572  0.750  0.00
K  0.875  0.678  0.750  0.00
Si  0.500  0.500  0.000  -0.06
Si  0.250  0.750  0.500  -0.06
Tc  0.000  0.000  0.000  1.92
Tc  0.750  0.250  0.500  1.92


[14]
The following is a GGA-PBE calculation of a relaxed structure of Li2BeSi2Pt5, from Alexandria.

E_form (uncorrected) = -0.658 eV per atom

Lattice parameters (Å, degrees): 3.439 9.224 9.224 90.00 90.00 90.00
Element x y z (fractional)
Li  0.000  0.668  0.168
Li  0.000  0.332  0.832
Li  0.000  0.168  0.332
Li  0.000  0.832  0.668
Be  0.000  0.000  0.000
Be  0.000  0.500  0.500
Si  0.000  0.134  0.634
Si  0.000  0.866  0.366
Si  0.000  0.634  0.866
Si  0.000  0.366  0.134
Pt  0.500  0.196  0.073
Pt  0.500  0.804  0.927
Pt  0.500  0.073  0.804
Pt  0.500  0.696  0.427
Pt  0.500  0.927  0.196
Pt  0.500  0.304  0.573
Pt  0.500  0.573  0.696
Pt  0.500  0.427  0.304
Pt  0.500  0.500  0.000
Pt  0.500  0.000  0.500


[15]
The following is a GGA-PBE calculation of a relaxed structure of Ce4Cd2Os, from Alexandria.

E_form = 0.14 eV per formula unit

Lattice parameters (Å, degrees): 3.730 8.428 6.673 102.36 90.00 90.00
Each line ends with the local moment (μB).
Element x y z (fractional)
Ce  0.500  0.052  0.778  0.59
Ce  0.000  0.415  0.131  0.80
Ce  0.500  0.091  0.364  0.59
Ce  0.000  0.728  0.012  0.80
Cd  0.500  0.443  0.698  0.00
Cd  0.500  0.700  0.445  0.00
Os  0.000  0.071  0.071  -0.08


[16]
The following is a GGA-PBE calculation of a relaxed structure of La2Sm12Dy5, from Alexandria.

E_form = 2.56 eV per formula unit

Lattice parameters (Å, degrees): 9.358 12.606 8.710 132.83 90.00 111.79
Element x y z (fractional)
La  0.679  0.000  0.000
La  0.321  0.000  0.000
Sm  0.090  0.181  0.299
Sm  0.024  0.689  0.930
Sm  0.665  0.689  0.930
Sm  0.183  0.749  0.407
Sm  0.567  0.749  0.407
Sm  0.563  0.127  0.792
Sm  0.437  0.873  0.208
Sm  0.817  0.251  0.593
Sm  0.433  0.251  0.593
Sm  0.976  0.311  0.070
Sm  0.335  0.311  0.070
Sm  0.910  0.819  0.701
Dy  0.300  0.600  0.617
Dy  0.231  0.461  0.889
Dy  0.000  0.000  0.500
Dy  0.769  0.539  0.111
Dy  0.700  0.400  0.383


[17]
The following is a GGA-PBE calculation of a relaxed structure of TaI2NCl, from Alexandria.

relative energy among the computed polymorphs = 1699.9 meV per atom
E_form (uncorrected) = 1.780 eV per atom

Lattice parameters (Å, degrees): 6.226 6.226 3.344 90.00 90.00 90.00
Each line ends with the local moment (μB).
Element x y z (fractional)
I  0.000  0.500  0.000  -0.04
I  0.500  0.000  0.000  -0.04
N  0.000  0.000  0.500  -0.19
Cl  0.000  0.000  0.000  -0.10
Ta  0.500  0.500  0.500  1.61


[18]
The following is a GGA-PBE calculation of a relaxed structure of La2Sm3Dy5, from Alexandria.

relative energy among the computed polymorphs = 0.0 meV per atom
E_form = 1.81 eV per formula unit

Lattice parameters (Å, degrees): 9.284 9.287 11.223 123.46 123.45 70.58
Element x y z (fractional)
La  0.770  0.026  0.749
La  0.230  0.974  0.251
La  0.480  0.723  0.749
La  0.520  0.277  0.251
Sm  0.226  0.976  0.953
Sm  0.774  0.024  0.047
Sm  0.726  0.484  0.254
Sm  0.274  0.516  0.746
Sm  0.028  0.770  0.254
Sm  0.972  0.230  0.746
Dy  0.273  0.523  0.046
Dy  0.727  0.477  0.954
Dy  0.028  0.778  0.557
Dy  0.526  0.276  0.552
Dy  0.972  0.222  0.443
Dy  0.474  0.724  0.448
Dy  0.878  0.621  0.736
Dy  0.122  0.379  0.264
Dy  0.358  0.115  0.736
Dy  0.642  0.885  0.264